Record 1
ZrCdSe2O | PBE | relaxed

Values from the calculation:
Uncorrected formation energy (eV/atom): 1.127
Electronic total energy (eV per atom): -3.151

Cell: 4.908 4.908 5.684 Å, 90.00 90.00 90.00°
Fractional positions:
Zr  0.000  0.000  0.000
Cd  0.000  0.000  0.500
Se  0.000  0.500  0.500
Se  0.500  0.000  0.500
O  0.500  0.500  0.000

Record 2
ZrCdSeO5 | PBE | relaxed

Values from the calculation:
Uncorrected formation energy (eV/atom): -1.663
Electronic total energy (eV per atom): -6.381

Cell: 5.833 5.833 8.041 Å, 108.22 108.22 95.56°
Fractional positions:
Zr  0.000  0.500  0.000
Zr  0.500  0.000  0.500
Cd  0.056  0.944  0.750
Cd  0.944  0.056  0.250
Se  0.434  0.566  0.750
Se  0.566  0.434  0.250
O  0.220  0.632  0.858
O  0.228  0.240  0.035
O  0.231  0.769  0.250
O  0.240  0.228  0.535
O  0.368  0.780  0.642
O  0.632  0.220  0.358
O  0.760  0.772  0.465
O  0.769  0.231  0.750
O  0.772  0.760  0.965
O  0.780  0.368  0.142

Record 3
CdSiO2 | PBE | relaxed

Values from the calculation:
Excess energy over the best structure of this formula in the dataset (meV/atom): 1474
Uncorrected formation energy (eV/atom): -0.242
Electronic total energy (eV per atom): -4.305

Cell: 4.097 4.097 4.097 Å, 60.00 60.00 60.00°
Fractional positions:
Cd  0.000  0.000  0.000
Si  0.500  0.500  0.500
O  0.250  0.250  0.250
O  0.750  0.750  0.750

Record 4
CdSiO2 | PBE | relaxed

Values from the calculation:
Excess energy over the best structure of this formula in the dataset (meV/atom): 0
Uncorrected formation energy (eV/atom): -1.716
Electronic total energy (eV per atom): -5.779

Cell: 8.272 8.272 8.272 Å, 19.13 19.13 19.13°
Fractional positions:
Cd  0.000  0.000  0.000
Si  0.500  0.500  0.500
O  0.130  0.130  0.130
O  0.870  0.870  0.870

Record 5
Cd2SiO2 | PBE | relaxed

Values from the calculation:
Uncorrected formation energy (eV/atom): -0.712
Electronic total energy (eV per atom): -4.146

Cell: 9.668 9.668 9.668 Å, 133.36 133.36 68.09°
Fractional positions:
Cd  0.177  0.248  0.571
Cd  0.177  0.605  0.929
Cd  0.248  0.177  0.071
Cd  0.395  0.823  0.571
Cd  0.605  0.177  0.429
Cd  0.752  0.823  0.929
Cd  0.823  0.395  0.071
Cd  0.823  0.752  0.429
Si  0.000  0.000  0.000
Si  0.000  0.000  0.500
Si  0.000  0.500  0.000
Si  0.500  0.000  0.500
O  0.000  0.210  0.210
O  0.000  0.790  0.790
O  0.210  0.000  0.710
O  0.210  0.500  0.210
O  0.500  0.210  0.710
O  0.500  0.790  0.290
O  0.790  0.000  0.290
O  0.790  0.500  0.790

Record 6
Cd4SiO6 | PBE | relaxed

Values from the calculation:
Uncorrected formation energy (eV/atom): -1.507
Electronic total energy (eV per atom): -5.037

Cell: 6.264 6.264 11.109 Å, 109.72 109.72 57.99°
Fractional positions:
Cd  0.082  0.311  0.820
Cd  0.107  0.893  0.500
Cd  0.188  0.571  0.158
Cd  0.311  0.082  0.320
Cd  0.548  0.774  0.014
Cd  0.571  0.188  0.658
Cd  0.774  0.548  0.514
Cd  0.893  0.107  0.000
Si  0.162  0.720  0.756
Si  0.720  0.162  0.256
O  0.133  0.620  0.595
O  0.265  0.849  0.120
O  0.322  0.886  0.818
O  0.338  0.453  0.817
O  0.441  0.929  0.499
O  0.453  0.338  0.317
O  0.620  0.133  0.095
O  0.849  0.265  0.620
O  0.873  0.891  0.792
O  0.886  0.322  0.318
O  0.891  0.873  0.292
O  0.929  0.441  0.999

Number 1: ρ 4.58 g/cm3. Number 2: ρ 5.00 g/cm3. Number 3: ρ 5.89 g/cm3. Number 4: ρ 5.39 g/cm3. Number 5: ρ 4.03 g/cm3. Number 6: ρ 5.59 g/cm3.